1.
Compound: Li2LaZn
Source: the Alexandria database
Functional: PBE
Structure: relaxed

POSCAR file:
```
Li2LaZn
1.0
3.4187 0.0000 0.0000
0.0000 3.4187 0.0000
0.0000 0.0000 7.4927
Zn La Li
1 1 2
Direct
0.5000 0.5000 0.2500
0.5000 0.5000 0.7500
0.0000 0.0000 0.4278
0.0000 0.0000 0.0722
```

Properties
* SG: P4/mmm, No. 123
* formation energy: 0.01 eV per atom
* uncorrected energy: -2.496 eV per atom

2.
Compound: Li5La2Zn12
Source: the Alexandria database
Functional: PBE
Structure: relaxed

POSCAR file:
```
Li5La2Zn12
1.0
6.8835 0.1300 0.7203
0.6622 6.8529 0.7203
0.1405 0.1300 6.9197
La Zn Li
2 12 5
Direct
0.3455 0.3455 0.3455
0.6545 0.6545 0.6545
0.3474 0.3474 0.8464
0.1536 0.6526 0.6526
0.8464 0.3474 0.3474
0.0000 0.7083 0.2917
0.6526 0.1536 0.6526
0.2917 0.7083 0.0000
0.3474 0.8464 0.3474
0.2917 0.0000 0.7083
0.6526 0.6526 0.1536
0.0000 0.2917 0.7083
0.7083 0.0000 0.2917
0.7083 0.2917 0.0000
0.5000 0.0000 0.0000
0.9042 0.9042 0.9042
0.0000 0.0000 0.5000
0.0000 0.5000 0.0000
0.0958 0.0958 0.0958
```

Properties
* SG: R-3m, No. 166
* formation energy: -0.25 eV per atom
* uncorrected energy: -2.082 eV per atom

3.
Compound: LiLa2Zn6
Source: the Alexandria database
Functional: PBE
Structure: relaxed

POSCAR file:
```
LiLa2Zn6
1.0
3.4311 -0.0004 0.0005
0.0004 6.9426 3.9926
-0.0010 0.0142 8.0087
Zn Li La
6 1 2
Direct
0.5000 0.0000 0.6826
0.5000 0.3174 0.0000
0.5000 0.3174 0.6826
0.5000 0.6826 0.0000
0.5000 0.0000 0.3174
0.5000 0.6826 0.3174
0.0000 0.0000 0.0000
0.0000 0.6667 0.6667
0.0000 0.3333 0.3333
```

Properties
* SG: P6/mmm, No. 191
* formation energy: -0.24 eV per atom
* uncorrected energy: -2.393 eV per atom